Record 1
AcLaP2S8: relaxed, PBE.

It has space group P-3 (No. 147), with a = 6.0329 Å, b = 6.0329 Å, c = 9.5028 Å, α = 90.00°, β = 90.00° and γ = 120.00°. Symmetry generates all atoms from Ac at (0.0000, 0.0000, 0.0000), La at (0.0000, 0.0000, 0.5000), P at (0.3333, 0.6667, 0.7802), S at (0.0101, 0.3361, 0.7192) and S at (0.3333, 0.6667, 0.9936).

The calculation puts the total energy at -0.39730 Ry/atom. Its formation energy (no corrections) is -999 meV per atom.

---

Record 2
AcLaSbP: relaxed, PBE.

It has space group R3m (No. 160, hexagonal axes), with a = 4.5168 Å, b = 4.5168 Å, c = 22.4110 Å, α = 90.00°, β = 90.00° and γ = 120.00°. Symmetry generates all atoms from Ac at (0.0000, 0.0000, 0.0000), La at (0.0000, 0.0000, 0.5137), Sb at (0.0000, 0.0000, 0.7606) and P at (0.0000, 0.0000, 0.2542).

The calculation puts the total energy at -0.44047 Ry/atom. Its formation energy (no corrections) is -1351 meV per atom.

---

Record 3
AcLaPSe: relaxed, PBE.

It has space group R3m (No. 160, hexagonal axes), with a = 4.3535 Å, b = 4.3535 Å, c = 21.7141 Å, α = 90.00°, β = 90.00° and γ = 120.00°. Symmetry generates all atoms from Ac at (0.0000, 0.0000, 0.0000), La at (0.0000, 0.0000, 0.4884), P at (0.0000, 0.0000, 0.7476) and Se at (0.0000, 0.0000, 0.2411).

The calculation puts the total energy at -0.46189 Ry/atom. Its formation energy (no corrections) is -1802 meV per atom.

---

Record 4
AcLaSiP: relaxed, PBE.

It has space group F-43m (No. 216), with a = 7.509 Å, b = 7.509 Å, c = 7.509 Å, α = 90.00°, β = 90.00° and γ = 90.00°. Symmetry generates all atoms from Ac at (0.000, 0.000, 0.000), La at (0.000, 0.000, 0.500), Si at (0.250, 0.250, 0.250) and P at (0.250, 0.250, 0.750).

The calculation puts the total energy at -0.41318 Ry/atom. Its formation energy (no corrections) is -654 meV per atom.

---

Record 5
Ac2LaSmP4: relaxed, PBE.

It has space group P2/m (No. 10), with a = 7.481 Å, b = 4.323 Å, c = 7.489 Å, α = 90.00°, β = 109.41° and γ = 90.00°. Symmetry generates all atoms from Ac at (0.000, 0.000, 0.000), Ac at (0.500, 0.500, 0.000), La at (0.000, 0.500, 0.500), Sm at (0.500, 0.000, 0.500), P at (0.249, 0.000, 0.737) and P at (0.258, 0.500, 0.265).

The calculation puts the formation energy at -1.50 eV/atom. The calculation puts the total energy at -0.47309 Ry/atom.

---

Record 6
AcLa2SmP4: relaxed, PBE.

It has space group P2/m (No. 10), with a = 7.409 Å, b = 4.284 Å, c = 7.418 Å, α = 90.00°, β = 109.41° and γ = 90.00°. Symmetry generates all atoms from Ac at (0.000, 0.000, 0.000), La at (0.500, 0.000, 0.500), La at (0.500, 0.500, 0.000), Sm at (0.000, 0.500, 0.500), P at (0.248, 0.000, 0.742) and P at (0.254, 0.500, 0.260).

The calculation puts the formation energy at -1.52 eV/atom. The calculation puts the total energy at -0.48246 Ry/atom.

---

Record 7
AcLaSm2P4: relaxed, PBE.

It has space group P2/m (No. 10), with a = 7.333 Å, b = 4.236 Å, c = 7.345 Å, α = 90.00°, β = 109.40° and γ = 90.00°. Symmetry generates all atoms from Ac at (0.000, 0.000, 0.000), La at (0.500, 0.500, 0.000), Sm at (0.000, 0.500, 0.500), Sm at (0.500, 0.000, 0.500), P at (0.251, 0.000, 0.739) and P at (0.259, 0.500, 0.264).

The calculation puts the formation energy at -1.53 eV/atom. The calculation puts the total energy at -0.48063 Ry/atom.

---

Record 8
AcLa3Sm2P6: relaxed, PBE.

It has space group C2/m (No. 12), with a = 7.369 Å, b = 12.762 Å, c = 7.361 Å, α = 90.00°, β = 109.50° and γ = 90.00°. Symmetry generates all atoms from Ac at (0.000, 0.000, 0.000), La at (0.000, 0.166, 0.500), La at (0.000, 0.500, 0.500), Sm at (0.000, 0.333, 0.000), P at (0.239, 0.500, 0.248) and P at (0.246, 0.328, 0.752).

The calculation puts the formation energy at -1.54 eV/atom. The calculation puts the total energy at -0.48533 Ry/atom.

---

Record 9
SrAcLa2P4: relaxed, PBE.

It has space group P2/m (No. 10), with a = 7.513 Å, b = 4.348 Å, c = 7.542 Å, α = 90.00°, β = 109.42° and γ = 90.00°. Symmetry generates all atoms from Sr at (0.000, 0.000, 0.000), Ac at (0.500, 0.500, 0.000), La at (0.000, 0.500, 0.500), La at (0.500, 0.000, 0.500), P at (0.248, 0.000, 0.738) and P at (0.257, 0.500, 0.264).

The calculation puts the formation energy at -1.33 eV/atom. The calculation puts the total energy at -0.44059 Ry/atom.

---

Record 10
SrAc2LaP4: relaxed, PBE.

It has space group P2/m (No. 10), with a = 7.586 Å, b = 4.397 Å, c = 7.619 Å, α = 90.00°, β = 109.59° and γ = 90.00°. Symmetry generates all atoms from Sr at (0.000, 0.000, 0.000), Ac at (0.500, 0.000, 0.500), Ac at (0.500, 0.500, 0.000), La at (0.000, 0.500, 0.500), P at (0.245, 0.000, 0.742) and P at (0.250, 0.500, 0.257).

The calculation puts the formation energy at -1.30 eV/atom. The calculation puts the total energy at -0.43055 Ry/atom.

---

Record 11
AcLa2TbP4: relaxed, PBE.

It has space group P2/m (No. 10), with a = 7.376 Å, b = 4.267 Å, c = 7.386 Å, α = 90.00°, β = 109.40° and γ = 90.00°. Symmetry generates all atoms from Ac at (0.000, 0.000, 0.000), La at (0.500, 0.000, 0.500), La at (0.500, 0.500, 0.000), Tb at (0.000, 0.500, 0.500), P at (0.245, 0.000, 0.739) and P at (0.252, 0.500, 0.261).

The calculation puts the formation energy at -1.52 eV/atom. The calculation puts the total energy at -0.48135 Ry/atom.

---

Record 12
AcLaTeP: relaxed, PBE.

It has space group R3m (No. 160, hexagonal axes), with a = 4.3796 Å, b = 4.3796 Å, c = 23.5667 Å, α = 90.00°, β = 90.00° and γ = 120.00°. Symmetry generates all atoms from Ac at (0.0000, 0.0000, 0.0000), La at (0.0000, 0.0000, 0.1916), Te at (0.0000, 0.0000, 0.4314) and P at (0.0000, 0.0000, 0.5937).

The calculation puts the total energy at -0.43732 Ry/atom. Its formation energy (no corrections) is -1553 meV per atom.

---

Record 13
Ac3LaTh2P6: relaxed, PBE.

It has space group C2/m (No. 12), with a = 7.443 Å, b = 12.897 Å, c = 7.481 Å, α = 90.00°, β = 109.35° and γ = 90.00°. Symmetry generates all atoms from Ac at (0.000, 0.000, 0.000), Ac at (0.000, 0.335, 0.000), La at (0.000, 0.500, 0.500), Th at (0.000, 0.167, 0.500), P at (0.237, 0.000, 0.731) and P at (0.248, 0.330, 0.732).

The calculation puts the formation energy at -1.52 eV/atom. The calculation puts the total energy at -0.50743 Ry/atom.

---

Record 14
AcLa3Th2P6: relaxed, PBE.

It has space group C2/m (No. 12), with a = 7.371 Å, b = 12.769 Å, c = 7.359 Å, α = 90.00°, β = 109.51° and γ = 90.00°. Symmetry generates all atoms from Ac at (0.000, 0.000, 0.000), La at (0.000, 0.165, 0.500), La at (0.000, 0.500, 0.500), Th at (0.000, 0.333, 0.000), P at (0.235, 0.500, 0.244) and P at (0.245, 0.327, 0.754).

The calculation puts the formation energy at -1.56 eV/atom. The calculation puts the total energy at -0.52040 Ry/atom.

---

Record 15
AcLa2YP4: relaxed, PBE.

It has space group P2/m (No. 10), with a = 7.370 Å, b = 4.265 Å, c = 7.380 Å, α = 90.00°, β = 109.40° and γ = 90.00°. Symmetry generates all atoms from Ac at (0.000, 0.000, 0.000), La at (0.500, 0.000, 0.500), La at (0.500, 0.500, 0.000), Y at (0.000, 0.500, 0.500), P at (0.245, 0.000, 0.739) and P at (0.252, 0.500, 0.261).

The calculation puts the formation energy at -1.52 eV/atom. The calculation puts the total energy at -0.49841 Ry/atom.

---

Record 16
Ac2LaYP4: relaxed, PBE.

It has space group P2/m (No. 10), with a = 7.441 Å, b = 4.303 Å, c = 7.451 Å, α = 90.00°, β = 109.41° and γ = 90.00°. Symmetry generates all atoms from Ac at (0.000, 0.000, 0.000), Ac at (0.500, 0.500, 0.000), La at (0.000, 0.500, 0.500), Y at (0.500, 0.000, 0.500), P at (0.251, 0.000, 0.736) and P at (0.261, 0.500, 0.268).

The calculation puts the formation energy at -1.50 eV/atom. The calculation puts the total energy at -0.48918 Ry/atom.

---

Record 17
Ac2LaPaRh4: relaxed, PBE.

It has space group P2/m (No. 10), with a = 6.296 Å, b = 4.523 Å, c = 7.804 Å, α = 90.00°, β = 111.97° and γ = 90.00°. Symmetry generates all atoms from Ac at (0.000, 0.000, 0.000), Ac at (0.500, 0.500, 0.500), La at (0.000, 0.000, 0.500), Pa at (0.500, 0.500, 0.000), Rh at (0.098, 0.500, 0.748) and Rh at (0.449, 0.000, 0.793).

The calculation puts the formation energy at -0.72 eV/atom. The calculation puts the total energy at -0.53082 Ry/atom.

---

Record 18
AcLaPaRu2: relaxed, PBE.

It has space group C2/m (No. 12), with a = 14.590 Å, b = 4.397 Å, c = 11.011 Å, α = 90.00°, β = 125.98° and γ = 90.00°. Symmetry generates all atoms from Ac at (0.040, 0.000, 0.222), La at (0.226, 0.500, 0.125), Pa at (0.138, 0.500, 0.551), Ru at (0.100, 0.500, 0.734) and Ru at (0.231, 0.500, 0.400).

The calculation puts the formation energy at -0.34 eV/atom. The calculation puts the total energy at -0.57009 Ry/atom.

---

Record 19
Ac2La2Pb: relaxed, PBE.

It has space group I4/mmm (No. 139), with a = 4.501 Å, b = 4.501 Å, c = 20.129 Å, α = 90.00°, β = 90.00° and γ = 90.00°. Symmetry generates all atoms from Ac at (0.000, 0.000, 0.085), La at (0.000, 0.500, 0.250) and Pb at (0.000, 0.000, 0.500).

The calculation puts the formation energy at 0.14 eV/atom. The calculation puts the total energy at -0.31008 Ry/atom.

---

Record 20
Ac14LaPb: relaxed, PBE.

It has space group P4/mmm (No. 123), with a = 7.864 Å, b = 7.864 Å, c = 11.104 Å, α = 90.00°, β = 90.00° and γ = 90.00°. Symmetry generates all atoms from Ac at (0.000, 0.000, 0.000), Ac at (0.000, 0.500, 0.000), Ac at (0.000, 0.500, 0.500), Ac at (0.247, 0.247, 0.258), Ac at (0.500, 0.500, 0.000), La at (0.500, 0.500, 0.500) and Pb at (0.000, 0.000, 0.500).

The calculation puts the formation energy at -0.04 eV/atom. The calculation puts the total energy at -0.30686 Ry/atom.

---

Record 21
Ac4LaPb5: relaxed, PBE.

It has space group P4/mmm (No. 123), with a = 3.837 Å, b = 3.837 Å, c = 23.581 Å, α = 90.00°, β = 90.00° and γ = 90.00°. Symmetry generates all atoms from Ac at (0.000, 0.000, 0.101), Ac at (0.000, 0.000, 0.303), La at (0.000, 0.000, 0.500), Pb at (0.500, 0.500, 0.000), Pb at (0.500, 0.500, 0.202) and Pb at (0.500, 0.500, 0.404).

The calculation puts the formation energy at -0.51 eV/atom. The calculation puts the total energy at -0.33063 Ry/atom.

---

Record 22
Ac4LaPb: relaxed, PBE.

It has space group I4_1md (No. 109), with a = 12.287 Å, b = 12.287 Å, c = 7.715 Å, α = 90.00°, β = 90.00° and γ = 90.00°. Symmetry generates all atoms from Ac at (0.000, 0.268, 0.000), Ac at (0.000, 0.270, 0.494), La at (0.000, 0.000, 0.459) and Pb at (0.000, 0.000, 0.982).

The calculation puts the formation energy at 0.29 eV/atom. The calculation puts the total energy at -0.28571 Ry/atom.

---

Record 23
Ac2La6Pb: relaxed, PBE.

It has space group C2/c (No. 15), with a = 21.008 Å, b = 9.293 Å, c = 6.981 Å, α = 90.00°, β = 97.96° and γ = 90.00°. Symmetry generates all atoms from Ac at (0.240, 0.073, 0.377), La at (0.078, 0.021, 0.570), La at (0.078, 0.373, 0.364), La at (0.157, 0.272, 0.949) and Pb at (0.000, 0.301, 0.750).

The calculation puts the formation energy at -0.03 eV/atom. The calculation puts the total energy at -0.34135 Ry/atom.

---

Record 24
AcLa2Pb: relaxed, PBE.

It has space group P4/mmm (No. 123), with a = 4.323 Å, b = 4.323 Å, c = 7.640 Å, α = 90.00°, β = 90.00° and γ = 90.00°. Symmetry generates all atoms from Ac at (0.000, 0.000, 0.000), La at (0.500, 0.500, 0.293) and Pb at (0.000, 0.000, 0.500).

As for the energy above the lowest structure with this stoichiometry: 47.9 meV per atom. The calculation puts the formation energy at -0.29 eV/atom. The calculation puts the total energy at -0.34587 Ry/atom.